(one)
## CaNdCu (PBE)

Data for a relaxed structure of CaNdCu.

The density of states at the Fermi level is 18.0 states/eV per cell. The calculation puts the total magnetic moment at 0.0 μB/f.u.

It has space group F-43m (No. 216), with a = 7.0661 Å, b = 7.0661 Å, c = 7.0661 Å, α = 90.00°, β = 90.00° and γ = 90.00°. The asymmetric unit holds Ca at (0.0000, 0.0000, 0.0000), Nd at (0.0000, 0.0000, 0.5000) and Cu at (0.2500, 0.2500, 0.7500).


(two)
## CaNdCu (PBE)

Data for a relaxed structure of CaNdCu.

The density of states at the Fermi level is 10.8 states/eV per cell. The calculation puts the total magnetic moment at 0.0 μB/f.u.

It has space group C2/m (No. 12), with a = 13.2743 Å, b = 3.8815 Å, c = 8.0159 Å, α = 90.00°, β = 111.04° and γ = 90.00°. The asymmetric unit holds Ca at (0.1027, 0.0000, 0.3656), Nd at (0.1670, 0.5000, 0.8131) and Cu at (0.0900, 0.0000, 0.9947).


Energies relative to the most stable structure are (one) 0; (two) 48, reported in meV per atom.


(one)
## CaNdCu4 (PBE)

Data for a relaxed structure of CaNdCu4.

The density of states at the Fermi level is 7.5 states/eV per cell. The calculation puts the total magnetic moment at 0.0 μB/f.u.

It has space group Immm (No. 71), with a = 4.2284 Å, b = 7.4088 Å, c = 7.6200 Å, α = 90.00°, β = 90.00° and γ = 90.00°. The asymmetric unit holds Ca at (0.0000, 0.0000, 0.0000), Nd at (0.0000, 0.0000, 0.5000) and Cu at (0.0000, 0.3340, 0.2447).


(two)
## CaNdCu4 (PBE)

Data for a relaxed structure of CaNdCu4.

The density of states at the Fermi level is 26.0 states/eV per cell. The calculation puts the total magnetic moment at 0.0 μB/f.u.

It has space group F-43m (No. 216), with a = 7.5515 Å, b = 7.5515 Å, c = 7.5515 Å, α = 90.00°, β = 90.00° and γ = 90.00°. The asymmetric unit holds Ca at (0.0000, 0.0000, 0.0000), Nd at (0.2500, 0.2500, 0.7500) and Cu at (0.1265, 0.1265, 0.3735).


Energies relative to the most stable structure are (one) 0; (two) 71, reported in meV per atom.


(one)
## CaNdCuPd (PBE)

Data for a relaxed structure of CaNdCuPd.

The density of states at the Fermi level is 5.8 states/eV per cell. The calculation puts the total magnetic moment at 0.0 μB/f.u.

It has space group Amm2 (No. 38), with a = 4.4044 Å, b = 4.0089 Å, c = 10.9466 Å, α = 90.00°, β = 90.00° and γ = 90.00°. The asymmetric unit holds Ca at (0.0000, 0.0000, 0.0000), Nd at (0.5000, 0.0000, 0.7223), Cu at (0.5000, 0.0000, 0.4302) and Pd at (0.0000, 0.0000, 0.2842).


(two)
## CaNdCuPd (PBE)

Data for a relaxed structure of CaNdCuPd.

The density of states at the Fermi level is 14.3 states/eV per cell. The calculation puts the total magnetic moment at 0.0 μB/f.u.

It has space group F-43m (No. 216), with a = 7.1564 Å, b = 7.1564 Å, c = 7.1564 Å, α = 90.00°, β = 90.00° and γ = 90.00°. The asymmetric unit holds Ca at (0.0000, 0.0000, 0.0000), Nd at (0.0000, 0.0000, 0.5000), Cu at (0.2500, 0.2500, 0.7500) and Pd at (0.2500, 0.2500, 0.2500).


Energies relative to the most stable structure are (one) 0; (two) 45, reported in meV per atom.


(one)
## Ca3CuNi (PBE)

Data for a relaxed structure of Ca3CuNi.

The density of states at the Fermi level is 2.1 states/eV per cell. The calculation puts the total magnetic moment at 0.0 μB/f.u.

It has space group Pm-3m (No. 221), with a = 5.3016 Å, b = 5.3016 Å, c = 5.3016 Å, α = 90.00°, β = 90.00° and γ = 90.00°. The asymmetric unit holds Ca at (0.0000, 0.0000, 0.5000), Cu at (0.5000, 0.5000, 0.5000) and Ni at (0.0000, 0.0000, 0.0000).


(two)
## Ca3CuNi (PBE)

Data for a relaxed structure of Ca3CuNi.

The density of states at the Fermi level is 7.3 states/eV per cell. The calculation puts the total magnetic moment at 0.0 μB/f.u.

It has space group P2_1/m (No. 11), with a = 7.9651 Å, b = 4.0635 Å, c = 8.4980 Å, α = 90.00°, β = 109.03° and γ = 90.00°. The asymmetric unit holds Ca at (0.0891, 0.2500, 0.2402), Ca at (0.3041, 0.2500, 0.9253), Ca at (0.3451, 0.7500, 0.5893), Cu at (0.3685, 0.7500, 0.2028) and Ni at (0.0480, 0.2500, 0.5681).


Energies relative to the most stable structure are (one) 252; (two) 0, reported in meV per atom.


(one)
## CaCu2Ni2 (PBE)

Data for a relaxed structure of CaCu2Ni2.

The density of states at the Fermi level is 5.9 states/eV per cell. The calculation puts the total magnetic moment at 0.0 μB/f.u.

It has space group P4/mbm (No. 127), with a = 7.1925 Å, b = 7.1925 Å, c = 2.7524 Å, α = 90.00°, β = 90.00° and γ = 90.00°. The asymmetric unit holds Ca at (0.0000, 0.0000, 0.0000), Cu at (0.1249, 0.3751, 0.0000) and Ni at (0.1670, 0.6670, 0.5000).


(two)
## CaCu2Ni2 (PBE)

Data for a relaxed structure of CaCu2Ni2.

The density of states at the Fermi level is 5.3 states/eV per cell. The calculation puts the total magnetic moment at 0.0 μB/f.u.

It has space group P4/mbm (No. 127), with a = 7.1475 Å, b = 7.1475 Å, c = 2.7810 Å, α = 90.00°, β = 90.00° and γ = 90.00°. The asymmetric unit holds Ca at (0.0000, 0.0000, 0.0000), Cu at (0.1676, 0.3324, 0.5000) and Ni at (0.1236, 0.6236, 0.0000).


Energies relative to the most stable structure are (one) 25; (two) 0, reported in meV per atom.


(one)
## CaCu4Ni2 (PBE)

Data for a relaxed structure of CaCu4Ni2.

The density of states at the Fermi level is 7.7 states/eV per cell. The calculation puts the total magnetic moment at 0.0 μB/f.u.

It has space group I4/mmm (No. 139), with a = 7.1281 Å, b = 7.1281 Å, c = 5.0775 Å, α = 90.00°, β = 90.00° and γ = 90.00°. The asymmetric unit holds Ca at (0.0000, 0.0000, 0.0000), Cu at (0.0000, 0.2295, 0.5000) and Ni at (0.0000, 0.5000, 0.2500).


(two)
## CaCu4Ni2 (PBE)

Data for a relaxed structure of CaCu4Ni2.

The density of states at the Fermi level is 11.1 states/eV per cell. The calculation puts the total magnetic moment at 0.0 μB/f.u.

It has space group Immm (No. 71), with a = 4.8772 Å, b = 6.2896 Å, c = 6.2994 Å, α = 90.00°, β = 90.00° and γ = 90.00°. The asymmetric unit holds Ca at (0.0000, 0.0000, 0.0000), Cu at (0.0000, 0.3044, 0.3046) and Ni at (0.2503, 0.0000, 0.5000).


Energies relative to the most stable structure are (one) 480; (two) 0, reported in meV per atom.


(one)
## CaCu2O4 (PBE)

Data for a relaxed structure of CaCu2O4.

The density of states at the Fermi level is 7.1 states/eV per cell. The calculation puts the total magnetic moment at 0.1 μB/f.u.

It has space group Pnma (No. 62), with a = 9.0460 Å, b = 3.0601 Å, c = 10.5929 Å, α = 90.00°, β = 90.00° and γ = 90.00°. The asymmetric unit holds Ca at (0.2405, 0.2500, 0.1603), Cu at (0.0596, 0.2500, 0.3871), Cu at (0.0842, 0.2500, 0.8987), O at (0.0266, 0.7500, 0.7838), O at (0.0832, 0.2500, 0.5736), O at (0.1165, 0.7500, 0.0244) and O at (0.2056, 0.7500, 0.3399).


(two)
## CaCu2O4 (PBE)

Data for a relaxed structure of CaCu2O4.

The density of states at the Fermi level is 15.0 states/eV per cell. The calculation puts the total magnetic moment at 1.0 μB/f.u.

It has space group R3m (No. 160, hexagonal axes), with a = 6.1337 Å, b = 6.1337 Å, c = 15.7175 Å, α = 90.00°, β = 90.00° and γ = 120.00°. The asymmetric unit holds Ca at (0.0000, 0.0000, 0.0000), Ca at (0.0000, 0.0000, 0.3968), Cu at (0.0000, 0.0000, 0.7851), Cu at (0.0068, 0.5034, 0.8927), O at (0.0000, 0.0000, 0.1411), O at (0.0000, 0.0000, 0.6667), O at (0.0261, 0.5130, 0.1698) and O at (0.1924, 0.3847, 0.9533).


Energies relative to the most stable structure are (one) 0; (two) 83, reported in meV per atom.


(one)
## CaCu2O4 (PBE)

Data for a relaxed structure of CaCu2O4.

The calculation puts the total magnetic moment at 0.0 μB/f.u.

It has space group I4_1/amd (No. 141, origin choice 2), with a = 5.5299 Å, b = 5.5299 Å, c = 12.8015 Å, α = 90.00°, β = 90.00° and γ = 90.00°. The asymmetric unit holds Ca at (0.0000, 0.2500, 0.3750), Cu at (0.0000, 0.0000, 0.0000) and O at (0.0000, 0.0291, 0.7545).


(two)
## CaCu2O4 (PBE)

Data for a relaxed structure of CaCu2O4.

The calculation puts the total magnetic moment at 0.0 μB/f.u.

It has space group Pbcm (No. 57), with a = 3.4689 Å, b = 10.3608 Å, c = 9.3108 Å, α = 90.00°, β = 90.00° and γ = 90.00°. The asymmetric unit holds Ca at (0.0871, 0.1552, 0.2500), Cu at (0.3763, 0.6127, 0.5694), O at (0.0848, 0.7500, 0.0000), O at (0.3940, 0.5434, 0.1129) and O at (0.4085, 0.6884, 0.7500).


Energies relative to the most stable structure are (one) 85; (two) 0, reported in meV per atom.


(one)
## CaCu2O4 (PBE)

Data for a relaxed structure of CaCu2O4.

The density of states at the Fermi level is 24.2 states/eV per cell. The calculation puts the total magnetic moment at 4.0 μB/f.u.

It has space group Fd-3m (No. 227, origin choice 2), with a = 8.7780 Å, b = 8.7780 Å, c = 8.7780 Å, α = 90.00°, β = 90.00° and γ = 90.00°. The asymmetric unit holds Ca at (0.1250, 0.1250, 0.1250), Cu at (0.0000, 0.0000, 0.5000) and O at (0.0189, 0.0189, 0.7311).


(two)
## CaCu2O4 (PBE)

Data for a relaxed structure of CaCu2O4.

The density of states at the Fermi level is 6.8 states/eV per cell. The calculation puts the total magnetic moment at 3.8 μB/f.u.

It has space group Pmmn (No. 59, origin choice 2), with a = 5.9124 Å, b = 10.9860 Å, c = 5.1501 Å, α = 90.00°, β = 90.00° and γ = 90.00°. The asymmetric unit holds Ca at (0.2500, 0.2500, 0.0353), Ca at (0.2500, 0.7500, 0.3544), Cu at (0.0000, 0.0000, 0.5000), Cu at (0.2500, 0.5100, 0.9951), O at (0.0035, 0.1039, 0.8354), O at (0.2500, 0.0891, 0.3255) and O at (0.2500, 0.5977, 0.6605).


Energies relative to the most stable structure are (one) 61; (two) 0, reported in meV per atom.


(one)
## CaCu2O4 (PBE)

Data for a relaxed structure of CaCu2O4.

The calculation puts the total magnetic moment at 0.0 μB/f.u.

It has space group I4_1/a (No. 88, origin choice 2), with a = 5.7867 Å, b = 5.7867 Å, c = 9.4950 Å, α = 90.00°, β = 90.00° and γ = 90.00°. The asymmetric unit holds Ca at (0.0000, 0.2500, 0.1250), Cu at (0.0000, 0.0000, 0.5000) and O at (0.1445, 0.4743, 0.3255).


(two)
## CaCu2O4 (PBE)

Data for a relaxed structure of CaCu2O4.

The density of states at the Fermi level is 28.1 states/eV per cell. The calculation puts the total magnetic moment at 1.0 μB/f.u.

It has space group Imma (No. 74), with a = 6.1544 Å, b = 6.2433 Å, c = 8.6675 Å, α = 90.00°, β = 90.00° and γ = 90.00°. The asymmetric unit holds Ca at (0.0000, 0.0000, 0.0000), Cu at (0.0000, 0.2500, 0.3904), Cu at (0.2500, 0.2500, 0.7500), O at (0.0000, 0.0119, 0.7352) and O at (0.2404, 0.2500, 0.5315).


Energies relative to the most stable structure are (one) 0; (two) 337, reported in meV per atom.